DFT (PBE) results for an optimized crystal structure of CaP2SBr.

Values from the calculation:
calculated density: 2.31 g cm⁻³
magnetization: 1.0 μB/f.u.
DFT total energy: -14.25 eV/cell
energy relative to the elements, uncorrected: 0.874 eV/atom
D(E_F): 5.8 states/eV/cell

Structure (extended XYZ):
```
5
Lattice="-1.4455 2.5271 -4.6711 1.9661 -4.2425 -2.9036 -4.5469 -2.2406 0.1949" Properties=species:S:1:pos:R:3 pbc="T T T"
P 0.9830 -2.1212 -1.4518
P -0.7228 1.2635 -2.3355
Ca 0.0000 0.0000 0.0000
S -2.2734 -1.1203 0.0975
Br -2.0132 -1.9780 -3.6899
```

DFT (PBE) results for an optimized crystal structure of Sb2NCl.

Values from the calculation:
calculated density: 6.32 g cm⁻³
magnetization: 0.0 μB/f.u.
DFT total energy: -14.40 eV/cell
energy relative to the elements, uncorrected: 1.003 eV/atom
D(E_F): 3.1 states/eV/cell

Structure (extended XYZ):
```
4
Lattice="0.0000 3.3767 3.3767 3.3767 0.0000 3.3767 3.3767 3.3767 0.0000" Properties=species:S:1:pos:R:3 pbc="T T T"
Sb 1.6883 1.6883 1.6883
Sb 5.0650 5.0650 5.0650
N 0.0000 0.0000 0.0000
Cl 3.3767 3.3767 3.3767
```

Question: Look up the energy relative to the elements, uncorrected of the second one.
Answer: 1.003 eV/atom